(1)
Density functional theory data (PBE-GGA) for crystalline La6Ho3Tl at its relaxed geometry.

Cell and atoms, written as extended XYZ:
```
20
Lattice="6.2000 3.5795 5.3010 -6.2000 3.5795 5.3010 0.0000 -7.1591 5.3010" Properties=species:S:1:pos:R:3 pbc="T T T"
La -5.5422 0.7029 6.6514
La -3.3798 -4.4482 9.2517
La -2.0495 -0.5165 4.8127
La 1.4721 -1.5167 4.8127
La 2.1624 -5.1511 6.6514
La 0.5775 2.0332 4.8127
La -0.5775 -2.0332 11.0904
La -2.1624 5.1511 9.2517
La -1.4721 1.5167 11.0904
La 2.0496 0.5165 11.0904
La 3.3798 4.4482 6.6514
La 5.5422 -0.7029 9.2517
Ho -0.8149 -3.0665 7.2633
Ho -3.0631 -0.8275 8.6398
Ho -2.2482 2.2390 7.2633
Ho 2.2482 -2.2390 8.6398
Ho 3.0631 0.8275 7.2633
Ho 0.8149 3.0665 8.6398
Tl 0.0000 0.0000 0.0000
Tl 0.0000 0.0000 7.9515
```

Results
DFT formation energy (meV per atom): 81.0
Final energy (eV/cell): -89.7

***

(2)
Density functional theory data (PBE-GGA) for crystalline La2HoTl2 at its relaxed geometry.

Cell and atoms, written as extended XYZ:
```
10
Lattice="8.2687 0.0000 0.0000 0.0000 8.2687 0.0000 0.0000 0.0000 4.7655" Properties=species:S:1:pos:R:3 pbc="T T T"
La 1.3959 2.7384 0.0000
La 2.7384 6.8728 0.0000
La 5.5302 1.3959 0.0000
La 6.8728 5.5302 0.0000
Ho 0.0000 0.0000 2.3828
Ho 4.1343 4.1343 2.3828
Tl 1.0913 5.2256 2.3828
Tl 3.0431 1.0913 2.3828
Tl 5.2256 7.1774 2.3828
Tl 7.1774 3.0431 2.3828
```

Results
Relative energy among the computed polymorphs (meV per atom): 0
DFT formation energy (meV per atom): -332.8
Final energy (eV/cell): -41.7

***

(3)
Density functional theory data (PBE-GGA) for crystalline LaHo7Tl2 at its relaxed geometry.

Cell and atoms, written as extended XYZ:
```
10
Lattice="4.5579 -7.5885 0.0000 4.5579 7.5885 0.0000 0.0000 0.0000 5.5489" Properties=species:S:1:pos:R:3 pbc="T T T"
La 0.0000 0.0000 0.0000
Ho 1.6469 1.8629 2.7745
Ho 4.5579 4.0035 0.0000
Ho 1.6469 -1.8629 2.7745
Ho 4.5579 0.0000 2.7745
Ho 7.4689 1.8629 2.7745
Ho 4.5579 -4.0035 0.0000
Ho 7.4689 -1.8629 2.7745
Tl 4.5579 2.9769 2.7745
Tl 4.5579 -2.9769 2.7745
```

Results
DFT formation energy (meV per atom): 360.0
Final energy (eV/cell): -38.1

***

(4)
Density functional theory data (PBE-GGA) for crystalline LaHo4Tl5 at its relaxed geometry.

Cell and atoms, written as extended XYZ:
```
10
Lattice="3.7683 0.0000 0.0000 0.0000 3.7683 0.0000 0.0000 0.0000 19.6187" Properties=species:S:1:pos:R:3 pbc="T T T"
La 0.0000 0.0000 0.0000
Ho 0.0000 0.0000 4.0965
Ho 0.0000 0.0000 7.9094
Ho 0.0000 0.0000 11.7092
Ho 0.0000 0.0000 15.5222
Tl 1.8842 1.8842 2.1991
Tl 1.8842 1.8842 6.0183
Tl 1.8842 1.8842 9.8093
Tl 1.8842 1.8842 13.6003
Tl 1.8842 1.8842 17.4196
```

Results
DFT formation energy (meV per atom): -350.1
Final energy (eV/cell): -38.6

***

(5)
Density functional theory data (PBE-GGA) for crystalline La2HoTl2 at its relaxed geometry.

Cell and atoms, written as extended XYZ:
```
5
Lattice="-2.5127 3.6125 4.4076 2.5127 -3.6125 4.4076 2.5127 3.6125 -4.4076" Properties=species:S:1:pos:R:3 pbc="T T T"
La 0.0000 0.0000 1.6258
La 0.0000 0.0000 7.1894
Ho 0.0000 3.6125 0.0000
Tl 2.5127 1.6347 0.0000
Tl 0.0000 1.9778 4.4076
```

Results
Relative energy among the computed polymorphs (meV per atom): 23
DFT formation energy (meV per atom): -310.0
Final energy (eV/cell): -20.7

***

(6)
Density functional theory data (PBE-GGA) for crystalline LaHoTm2Tl2 at its relaxed geometry.

Cell and atoms, written as extended XYZ:
```
12
Lattice="5.1473 0.0000 0.0000 0.0000 10.0821 0.0000 0.0000 0.0000 6.7771" Properties=species:S:1:pos:R:3 pbc="T T T"
La 0.0000 0.4182 0.0000
La 0.0000 9.6639 3.3886
Ho 2.5737 1.9917 4.9163
Ho 2.5737 8.0904 1.5278
Tm 0.0000 3.2331 2.5844
Tm 0.0000 6.8490 5.9730
Tm 2.5737 4.6059 0.6422
Tm 2.5737 5.4762 4.0308
Tl 0.0000 3.7297 5.7149
Tl 0.0000 6.3524 2.3263
Tl 2.5737 1.4651 1.7991
Tl 2.5737 8.6170 5.1876
```

Results
DFT formation energy (meV per atom): -258.6
Final energy (eV/cell): -49.5